Arrangement 1

PBE NpSiP2, relaxed; crystal system = trigonal; space-group type = R-3m, No. 166
1.0
3.1331 0.0000 0.0000
1.5665 2.7133 0.0000
1.5665 0.9044 8.6422
Si P Np
1 2 1
Direct
0.5000 0.5000 0.5000
0.1085 0.1085 0.6745
0.8915 0.8915 0.3255
0.0000 0.0000 0.0000

***

Arrangement 2

PBE NpSiP2, relaxed; crystal system = tetragonal; space-group type = P4/mmm, No. 123
1.0
-3.4368 0.2744 1.3465
0.9280 -2.7782 2.9347
1.2283 3.0625 2.5108
P Np Si
2 1 1
Direct
0.0000 0.0000 0.5000
0.0000 0.5000 0.0000
0.5000 0.0000 0.0000
0.5000 0.5000 0.5000

***

Which of them is most stable? Easy: arrangement 2.